1.
Computed, not measured: a geometry-optimized TaP2W structure at the PBE-GGA level of DFT.

Unit cell a=7.656 b=7.656 c=7.656 alpha=23.16 beta=23.16 gamma=23.16
Positions (direct):
Ta 0.000 0.000 0.000
P 0.247 0.247 0.247
P 0.753 0.753 0.753
W 0.500 0.500 0.500

Final energy in eV per atom: -8.9548
Total magnetic moment in μB/cell: 0.0
Energy of formation from the pure elements in eV/atom: -0.048
DOS at the Fermi energy in states/eV/cell: 3.4

2.
Computed, not measured: a geometry-optimized La2PmNd7Tl2 structure at the PBE-GGA level of DFT.

Unit cell a=6.223 b=6.223 c=11.442 alpha=90.00 beta=90.00 gamma=111.09
Positions (direct):
La 0.000 0.000 0.148
La 0.000 0.000 0.852
Pm 0.500 0.500 0.500
Nd 0.000 0.000 0.500
Nd 0.000 0.500 0.332
Nd 0.000 0.500 0.668
Nd 0.314 0.686 0.000
Nd 0.500 0.000 0.332
Nd 0.500 0.000 0.668
Nd 0.686 0.314 0.000
Tl 0.500 0.500 0.225
Tl 0.500 0.500 0.775

Final energy in eV per atom: -4.4286
Total magnetic moment in μB/cell: 0.0
Energy of formation from the pure elements in eV/atom: -0.036
DOS at the Fermi energy in states/eV/cell: 22.2

3.
Computed, not measured: a geometry-optimized LaThTe4 structure at the PBE-GGA level of DFT.

Unit cell a=5.140 b=5.140 c=8.159 alpha=90.00 beta=90.00 gamma=96.57
Positions (direct):
La 0.000 0.000 0.000
Th 0.000 0.000 0.500
Te 0.000 0.500 0.258
Te 0.000 0.500 0.742
Te 0.500 0.000 0.258
Te 0.500 0.000 0.742

Final energy in eV per atom: -5.2236
Energy relative to the elements, uncorrected in eV per atom: -1.071
Total magnetic moment in μB/cell: 0.0
Excess energy over the best structure of this formula in the dataset in meV per atom: 0
DOS at the Fermi energy in states/eV/cell: 2.8

4.
Computed, not measured: a geometry-optimized Tb2Nd3ErTe6 structure at the PBE-GGA level of DFT.

Unit cell a=9.938 b=9.938 c=8.947 alpha=104.11 beta=104.11 gamma=25.48
Positions (direct):
Tb 0.168 0.168 0.336
Tb 0.832 0.832 0.664
Nd 0.168 0.168 0.834
Nd 0.500 0.500 0.500
Nd 0.832 0.832 0.166
Er 0.500 0.500 0.000
Te 0.002 0.002 0.240
Te 0.332 0.332 0.422
Te 0.338 0.338 0.911
Te 0.662 0.662 0.089
Te 0.668 0.668 0.578
Te 0.998 0.998 0.760

Final energy in eV per atom: -5.2695
Energy relative to the elements, uncorrected in eV per atom: -1.355
Total magnetic moment in μB/cell: 0.0
DOS at the Fermi energy in states/eV/cell: 6.2

5.
Computed, not measured: a geometry-optimized Ho3Mg2Co2 structure at the PBE-GGA level of DFT.

Unit cell a=10.929 b=10.929 c=3.873 alpha=90.00 beta=90.00 gamma=159.88
Positions (direct):
Ho 0.000 0.000 0.000
Ho 0.178 0.822 0.000
Ho 0.822 0.178 0.000
Mg 0.411 0.589 0.500
Mg 0.589 0.411 0.500
Co 0.276 0.724 0.500
Co 0.724 0.276 0.500

Final energy in eV per atom: -4.5995
Total magnetic moment in μB/cell: 1.5
Energy of formation from the pure elements in eV/atom: -0.152
DOS at the Fermi energy in states/eV/cell: 8.3

6.
Computed, not measured: a geometry-optimized Mg2SiB structure at the PBE-GGA level of DFT.

Unit cell a=3.417 b=3.417 c=6.920 alpha=104.88 beta=104.88 gamma=59.35
Positions (direct):
Mg 0.000 0.000 0.000
Mg 0.207 0.207 0.629
Si 0.774 0.774 0.314
B 0.427 0.427 0.269

Final energy in eV per atom: -3.7736
Energy relative to the elements, uncorrected in eV per atom: 0.049
Total magnetic moment in μB/cell: 0.0
Excess energy over the best structure of this formula in the dataset in meV per atom: 51
DOS at the Fermi energy in states/eV/cell: 1.0

7.
Computed, not measured: a geometry-optimized IrRhPb2 structure at the PBE-GGA level of DFT.

Unit cell a=4.093 b=5.592 c=5.592 alpha=40.50 beta=90.00 gamma=90.00
Positions (direct):
Ir 0.000 0.000 0.000
Rh 0.500 0.847 0.847
Pb 0.000 0.275 0.275
Pb 0.500 0.573 0.573

Final energy in eV per atom: -5.7110
Total magnetic moment in μB/cell: 0.0
Energy of formation from the pure elements in eV/atom: 0.196
Excess energy over the best structure of this formula in the dataset in meV per atom: 0
DOS at the Fermi energy in states/eV/cell: 3.0

8.
Computed, not measured: a geometry-optimized LiBe2TeI structure at the PBE-GGA level of DFT.

Unit cell a=4.966 b=4.966 c=5.434 alpha=90.00 beta=90.00 gamma=90.00
Positions (direct):
Li 0.000 0.000 0.000
Be 0.000 0.500 0.500
Be 0.500 0.000 0.500
Te 0.000 0.000 0.500
I 0.500 0.500 0.000

Final energy in eV per atom: -2.4014
Energy relative to the elements, uncorrected in eV per atom: 0.410
Total magnetic moment in μB/cell: 0.0
DOS at the Fermi energy in states/eV/cell: 1.1